# 1
## CeIn2TcO8 (PBE)

Data for a relaxed CeIn2TcO8 crystal.

Geometry as POSCAR:
```
CeIn2TcO8
1.0
3.4493 -3.5044 0.0000
3.4493 3.5044 0.0000
0.0000 0.0000 6.6993
Ce In Tc O
1 2 1 8
Cartesian
0.0000 0.0000 0.0000
3.4493 0.0000 1.7230
3.4493 0.0000 4.9763
0.0000 0.0000 3.3497
3.4493 2.1914 1.9134
3.4493 2.1914 4.7859
1.9336 0.0000 3.3497
2.1300 0.0000 0.0000
4.7686 0.0000 0.0000
4.9650 0.0000 3.3497
3.4493 -2.1914 1.9134
3.4493 -2.1914 4.7859
```

Output
**Energy**: -6.98 eV/atom
**Fermi-level density of states**: 0.3296 states/eV per atom
**E_form (uncorrected)**: -1.86 eV per atom
**Total magnetization**: 1.01 μB/f.u.

# 2
## CeInTeO6 (PBE)

Data for a relaxed CeInTeO6 crystal.

Geometry as POSCAR:
```
CeInTeO6
1.0
5.4644 0.0000 0.0000
-2.7322 4.7323 0.0000
0.0000 0.0000 10.0456
Ce In Te O
2 2 2 12
Cartesian
0.0000 0.0000 0.0000
0.0000 0.0000 5.0228
0.0000 3.1549 2.5114
2.7322 1.5774 7.5342
0.0000 3.1549 7.5342
2.7322 1.5774 2.5114
-0.8540 1.7563 6.4104
-1.6382 3.1146 8.6579
0.8540 1.7563 8.6579
-0.7842 4.5937 6.4104
1.9480 0.1386 1.3876
1.0940 1.6177 3.6351
1.6382 3.1146 6.4104
0.7842 4.5937 8.6579
3.5164 0.1386 3.6351
1.8782 2.9760 1.3876
4.3704 1.6177 1.3876
3.5862 2.9760 3.6351
```

Output
**Energy**: -6.51 eV/atom
**Fermi-level density of states**: 0.6682 states/eV per atom
**E_form (uncorrected)**: -1.89 eV per atom
**Total magnetization**: 1.03 μB/f.u.